The following is a PBE+U calculation of an optimized crystal structure of Rb2MnRuF6, from the Alexandria database.

Cell: 8.549 8.549 8.549 Å, 90.00 90.00 90.00°
Space group Fm-3m (No. 225)
Unique sites:
Rb1 0.250 0.250 0.250 (multiplicity 8)
Mn1 0.000 0.000 0.000 (multiplicity 4)
Ru1 0.000 0.000 0.500 (multiplicity 4)
F1 0.000 0.000 0.249 (multiplicity 24)

## Properties
E_tot: -5.23 eV per atom
Calculated volume: 15.62 Å³ per atom
M_tot: 5.000 μB/f.u.